[1]
Here is a relaxed TaOsW2 crystal from the Alexandria database. Energies are from PBE.

- V: 16.384 Å³/atom
- Crystal system: trigonal
- M_tot: 0.0 μB/f.u.
- Formation enthalpy at 0 K: 0.2574 eV/atom
- Energy above the lowest structure with this stoichiometry: 0.315 eV per atom
- Symmetry: R-3m, No. 166

POSCAR file:
```
TaOsW2
1.0
9.720 0.007 0.004
9.312 2.787 0.004
9.312 1.367 2.429
Os W Ta
1 2 1
direct
0.250 0.250 0.250 Os
0.505 0.505 0.505 W
0.995 0.995 0.995 W
0.750 0.750 0.750 Ta
```



[2]
Here is a relaxed Cs5Y2F12 crystal from the Alexandria database. Energies are from PBE.

- V: 23.219 Å³/atom
- Crystal system: monoclinic
- M_tot: 1.3 μB/f.u.
- Symmetry: C2/m, No. 12
- Uncorrected energy: -5.25 eV/atom

POSCAR file:
```
Cs5Y2F12
1.0
-0.162 -6.824 -2.098
7.935 -1.764 2.199
1.448 -3.278 7.621
Cs Y F
5 2 12
direct
0.482 0.638 0.638 Cs
0.518 0.362 0.362 Cs
0.971 0.762 0.762 Cs
0.500 0.000 0.000 Cs
0.029 0.238 0.238 Cs
0.000 0.274 0.726 Y
0.000 0.726 0.274 Y
0.103 0.948 0.948 F
0.844 0.468 0.468 F
0.216 0.304 0.883 F
0.201 0.157 0.584 F
0.784 0.696 0.117 F
0.799 0.416 0.843 F
0.156 0.532 0.532 F
0.784 0.117 0.696 F
0.799 0.843 0.416 F
0.897 0.052 0.052 F
0.216 0.883 0.304 F
0.201 0.584 0.157 F
```



[3]
Here is a relaxed TbNd6Tm3 crystal from the Alexandria database. Energies are from PBE.

- V: 33.603 Å³/atom
- Crystal system: orthorhombic
- M_tot: 0.0 μB/f.u.
- Formation enthalpy at 0 K: 0.1438 eV/atom
- Energy above the lowest structure with this stoichiometry: 0.016 eV per atom
- Symmetry: Cmc2_1, No. 36

POSCAR file:
```
TbNd6Tm3
1.0
-2.652 -5.314 2.262
-1.214 -3.807 -10.364
9.214 -2.116 5.832
Nd Tm Tb
12 6 2
direct
0.857 0.482 0.060 Nd
0.357 0.518 0.940 Nd
0.888 0.035 0.965 Nd
0.388 0.965 0.035 Nd
0.655 0.282 0.718 Nd
0.047 0.372 0.287 Nd
0.857 0.940 0.518 Nd
0.357 0.060 0.482 Nd
0.047 0.713 0.628 Nd
0.155 0.718 0.282 Nd
0.547 0.287 0.372 Nd
0.547 0.628 0.713 Nd
0.470 0.283 0.054 Tm
0.585 0.614 0.386 Tm
0.970 0.054 0.283 Tm
0.970 0.717 0.946 Tm
0.470 0.946 0.717 Tm
0.085 0.386 0.614 Tm
0.109 0.194 0.806 Tb
0.609 0.806 0.194 Tb
```



[4]
Here is a relaxed MnTcNiCl2 crystal from the Alexandria database. Energies are from PBE.

- V: 18.846 Å³/atom
- Crystal system: tetragonal
- M_tot: 4.5 μB/f.u.
- Energy above the lowest structure with this stoichiometry: 0.277 eV per atom
- Symmetry: P4/mmm, No. 123

POSCAR file:
```
MnTcNiCl2
1.0
4.484 0.000 0.000
0.000 4.687 0.000
0.000 0.000 4.484
Ni Cl Mn Tc
1 2 1 1
direct
0.500 0.500 0.500 Ni
0.500 0.000 0.000 Cl
0.000 0.000 0.500 Cl
0.000 0.000 0.000 Mn
0.000 0.500 0.000 Tc
```



[5]
Here is a relaxed Li2CrRe crystal from the Alexandria database. Energies are from PBE.

- V: 12.933 Å³/atom
- Crystal system: cubic
- M_tot: 1.1 μB/f.u.
- Formation enthalpy at 0 K: 0.4519 eV/atom
- Energy above the lowest structure with this stoichiometry: 0.203 eV per atom
- Symmetry: F-43m, No. 216

POSCAR file:
```
Li2CrRe
1.0
-1.978 2.303 -2.877
-3.601 -0.510 2.066
3.346 1.546 1.978
Li Re Cr
2 1 1
direct
0.000 0.000 0.000 Li
0.250 0.750 0.500 Li
0.500 0.500 0.000 Re
0.750 0.250 0.500 Cr
```



[6]
Here is a relaxed Np3Ag3PtSe8 crystal from the Alexandria database. Energies are from PBE.

- V: 25.295 Å³/atom
- Crystal system: trigonal
- M_tot: 11.3 μB/f.u.
- Symmetry: R-3m, No. 166
- Uncorrected energy: -6.00 eV/atom

POSCAR file:
```
Np3Ag3PtSe8
1.0
-1.770 6.736 -4.239
-4.775 -6.580 -0.622
0.107 4.336 6.845
Se Ag Np Pt
8 3 3 1
direct
0.771 0.997 0.268 Se
0.252 0.504 0.257 Se
0.229 0.457 0.731 Se
0.227 0.997 0.268 Se
0.229 0.003 0.732 Se
0.773 0.003 0.732 Se
0.748 0.496 0.743 Se
0.771 0.543 0.269 Se
0.000 0.000 0.000 Ag
0.500 0.500 0.000 Ag
0.000 0.500 0.000 Ag
0.500 0.000 0.500 Np
0.500 0.500 0.500 Np
0.000 0.500 0.500 Np
0.000 0.000 0.500 Pt
```



[7]
Here is a relaxed Y2TmGe2Rh5 crystal from the Alexandria database. Energies are from PBE.

- V: 18.079 Å³/atom
- Crystal system: tetragonal
- M_tot: 0.0 μB/f.u.
- Formation enthalpy at 0 K: -0.8745 eV/atom
- Symmetry: P4/mbm, No. 127

POSCAR file:
```
Y2TmGe2Rh5
1.0
-1.335 3.308 -0.752
-6.705 -1.049 7.288
6.397 4.051 6.468
Rh Ge Tm Y
10 4 2 4
direct
0.500 0.785 0.931 Rh
0.500 0.215 0.069 Rh
0.500 0.000 0.500 Rh
0.500 0.931 0.215 Rh
0.500 0.285 0.569 Rh
0.500 0.069 0.785 Rh
0.500 0.715 0.431 Rh
0.500 0.569 0.715 Rh
0.500 0.431 0.285 Rh
0.500 0.500 0.000 Rh
0.000 0.876 0.376 Ge
0.000 0.124 0.624 Ge
0.000 0.624 0.876 Ge
0.000 0.376 0.124 Ge
0.000 0.500 0.500 Tm
0.000 0.000 0.000 Tm
0.000 0.827 0.673 Y
0.000 0.173 0.327 Y
0.000 0.327 0.827 Y
0.000 0.673 0.173 Y
```



[8]
Here is a relaxed CrAgW2 crystal from the Alexandria database. Energies are from PBE.

- V: 15.598 Å³/atom
- Crystal system: monoclinic
- M_tot: 0.0 μB/f.u.
- Formation enthalpy at 0 K: 0.5166 eV/atom
- Energy above the lowest structure with this stoichiometry: 0.131 eV per atom
- Symmetry: Pm, No. 6

POSCAR file:
```
CrAgW2
1.0
4.406 0.000 0.000
0.000 2.680 -0.023
0.000 1.081 5.274
Ag W Cr
1 2 1
direct
0.000 0.588 0.504 Ag
0.000 0.963 0.984 W
0.500 0.241 0.231 W
0.500 0.708 0.781 Cr
```



Table of Fermi-level density of states (states/eV per atom), in record order: 0.718; 0.076; 1.411; 1.608; 0.610; 2.283; 0.541; 0.760